Entry from the Alexandria database: a geometry-optimized Sm3Sn3Pd2 structure (PBE-GGA).

Spin magnetization ... 0.0 μB/f.u.
Calculated volume ... 24.9 Å³ per atom
Crystal system ... orthorhombic
Space group ... No. 62
Energy relative to the elements ... -6.7 eV per formula unit
Total DFT energy (no corrections) ... -173.14 eV/cell

Structure (POSCAR):
```
Sm3Sn3Pd2
1.0
8.500 0.000 0.000
0.000 15.555 0.000
0.000 0.000 6.034
Sm Sn Pd
12 12 8
direct
0.032 0.110 0.126
0.032 0.390 0.126
0.174 0.250 0.633
0.326 0.750 0.133
0.468 0.610 0.626
0.468 0.890 0.626
0.532 0.110 0.374
0.532 0.390 0.374
0.674 0.250 0.867
0.826 0.750 0.367
0.968 0.610 0.874
0.968 0.890 0.874
0.184 0.750 0.624
0.197 0.037 0.605
0.197 0.463 0.605
0.303 0.537 0.105
0.303 0.963 0.105
0.316 0.250 0.124
0.684 0.750 0.876
0.697 0.037 0.895
0.697 0.463 0.895
0.803 0.537 0.395
0.803 0.963 0.395
0.816 0.250 0.376
0.089 0.610 0.376
0.089 0.890 0.376
0.411 0.110 0.876
0.411 0.390 0.876
0.589 0.610 0.124
0.589 0.890 0.124
0.911 0.110 0.624
0.911 0.390 0.624
```